Entry 1:
The following is a DFT calculation (GGA-PBE) of an optimized crystal structure of Ta3Nb2Ir.

Calculated values
Size of the total moment: 0.00 μB/cell
Calculated volume: 17.444 Å³/atom
Formation energy from the elements: -1.723 eV/f.u.
SG: No. 65

a = 7.293 Å, b = 7.293 Å, c = 6.553 Å
α = 90.00°, β = 90.00°, γ = 143.09°
Element x y z (fractional)
Ta 0.000 0.000 0.249
Ta 0.000 0.000 0.751
Ta 0.332 0.668 0.248
Ta 0.332 0.668 0.752
Ta 0.668 0.332 0.248
Ta 0.668 0.332 0.752
Nb 0.168 0.832 0.500
Nb 0.500 0.500 0.000
Nb 0.500 0.500 0.500
Nb 0.832 0.168 0.500
Ir 0.165 0.835 0.000
Ir 0.835 0.165 0.000

Entry 2:
The following is a DFT calculation (GGA-PBE) of an optimized crystal structure of SbBrF3.

Calculated values
Size of the total moment: 0.93 μB/cell
Calculated volume: 18.025 Å³/atom
E_form (uncorrected): -1.495 eV/atom
E above lowest polymorph: 1.60 eV/f.u.
SG: No. 221

a = 4.483 Å, b = 4.483 Å, c = 4.483 Å
α = 90.00°, β = 90.00°, γ = 90.00°
Element x y z (fractional)
Sb 0.000 0.000 0.000
Br 0.500 0.500 0.500
F 0.000 0.000 0.500
F 0.000 0.500 0.000
F 0.500 0.000 0.000

Number 1: DFT total energy -11.047 eV/atom. Number 2: DFT total energy -3.777 eV/atom.